No. 1
The following is a DFT calculation (PBE) of a geometry-optimized CdMoBr structure.

Results
Calculated density   8.158 g/cm3
Space-group type   No. 187
Offset from the most stable computed form   476 meV/atom
Raw formation energy   0.762 eV/atom
Fermi-level density of states   2.8 states/eV per cell

a b c (Å): 4.743 4.743 3.012
angles (deg): 90.00 90.00 120.00
Fractional coordinates of all 3 atoms:
Cd: 0.000 0.000 0.000
Mo: 0.667 0.333 0.500
Br: 0.333 0.667 0.500

---

No. 2
The following is a DFT calculation (PBE) of a geometry-optimized Cd2MoBr structure.

Results
Calculated density   8.116 g/cm3
Space-group type   No. 65
Offset from the most stable computed form   313 meV/atom
Raw formation energy   0.500 eV/atom
Fermi-level density of states   6.4 states/eV per cell

a b c (Å): 5.877 9.035 3.088
angles (deg): 90.00 90.00 90.00
Fractional coordinates of all 8 atoms:
Cd: 0.250 0.250 0.000
Cd: 0.250 0.750 0.000
Cd: 0.750 0.250 0.000
Cd: 0.750 0.750 0.000
Mo: 0.000 0.000 0.500
Mo: 0.500 0.500 0.500
Br: 0.000 0.500 0.500
Br: 0.500 0.000 0.500

---

No. 3
The following is a DFT calculation (PBE) of a geometry-optimized CdMoBr2 structure.

Results
Calculated density   5.263 g/cm3
Space-group type   No. 12
Offset from the most stable computed form   522 meV/atom
Raw formation energy   0.529 eV/atom
Fermi-level density of states   3.5 states/eV per cell

a b c (Å): 7.008 8.168 5.147
angles (deg): 90.00 127.95 90.00
Fractional coordinates of all 8 atoms:
Cd: 0.000 0.000 0.000
Cd: 0.500 0.500 0.000
Mo: 0.000 0.500 0.000
Mo: 0.500 0.000 0.000
Br: 0.250 0.250 0.500
Br: 0.250 0.750 0.500
Br: 0.750 0.250 0.500
Br: 0.750 0.750 0.500

---

No. 4
The following is a DFT calculation (PBE) of a geometry-optimized CdMoBr2 structure.

Results
Calculated density   6.228 g/cm3
Space-group type   No. 47
Offset from the most stable computed form   527 meV/atom
Raw formation energy   0.534 eV/atom
Fermi-level density of states   1.7 states/eV per cell

a b c (Å): 3.529 4.543 6.123
angles (deg): 90.00 90.00 90.00
Fractional coordinates of all 4 atoms:
Cd: 0.000 0.000 0.000
Mo: 0.500 0.000 0.500
Br: 0.000 0.500 0.500
Br: 0.500 0.500 0.000

---

No. 5
The following is a DFT calculation (PBE) of a geometry-optimized CdMo2Br structure.

Results
Calculated density   8.250 g/cm3
Space-group type   No. 6
Offset from the most stable computed form   496 meV/atom
Raw formation energy   0.706 eV/atom
Fermi-level density of states   3.0 states/eV per cell

a b c (Å): 2.968 4.591 5.770
angles (deg): 90.00 100.44 90.00
Fractional coordinates of all 4 atoms:
Cd: 0.000 0.000 0.000
Mo: 0.415 0.000 0.478
Mo: 0.714 0.500 0.312
Br: 0.355 0.500 0.690

---

No. 6
The following is a DFT calculation (PBE) of a geometry-optimized Cd2MoBr structure.

Results
Calculated density   7.883 g/cm3
Space-group type   No. 65
Offset from the most stable computed form   196 meV/atom
Raw formation energy   0.382 eV/atom
Fermi-level density of states   4.9 states/eV per cell

a b c (Å): 3.883 4.941 8.798
angles (deg): 90.00 90.00 90.00
Fractional coordinates of all 8 atoms:
Cd: 0.000 0.000 0.235
Cd: 0.000 0.000 0.765
Cd: 0.500 0.500 0.235
Cd: 0.500 0.500 0.765
Mo: 0.000 0.500 0.000
Mo: 0.500 0.000 0.000
Br: 0.000 0.500 0.500
Br: 0.500 0.000 0.500

---

No. 7
The following is a DFT calculation (PBE) of a geometry-optimized CdMoBr2 structure.

Results
Calculated density   4.725 g/cm3
Space-group type   No. 44
Offset from the most stable computed form   262 meV/atom
Raw formation energy   0.269 eV/atom

a b c (Å): 3.619 7.420 9.638
angles (deg): 90.00 90.00 90.00
Fractional coordinates of all 8 atoms:
Cd: 0.000 0.000 0.000
Cd: 0.500 0.500 0.500
Mo: 0.000 0.500 0.740
Mo: 0.500 0.000 0.240
Br: 0.000 0.000 0.431
Br: 0.000 0.500 0.285
Br: 0.500 0.000 0.785
Br: 0.500 0.500 0.931

---

No. 8
The following is a DFT calculation (PBE) of a geometry-optimized CdMo2Br structure.

Results
Calculated density   8.809 g/cm3
Space-group type   No. 12
Offset from the most stable computed form   629 meV/atom
Raw formation energy   0.839 eV/atom
Fermi-level density of states   6.8 states/eV per cell

a b c (Å): 9.734 3.013 5.052
angles (deg): 90.00 102.10 90.00
Fractional coordinates of all 8 atoms:
Cd: 0.000 0.000 0.000
Cd: 0.500 0.500 0.000
Mo: 0.246 0.000 0.746
Mo: 0.254 0.500 0.254
Mo: 0.746 0.500 0.746
Mo: 0.754 0.000 0.254
Br: 0.000 0.500 0.500
Br: 0.500 0.000 0.500

---

No. 9
The following is a DFT calculation (PBE) of a geometry-optimized CdMoBr2 structure.

Results
Calculated density   5.212 g/cm3
Space-group type   No. 6
Offset from the most stable computed form   14 meV/atom
Raw formation energy   0.021 eV/atom
Fermi-level density of states   2.3 states/eV per cell

a b c (Å): 4.627 3.335 7.933
angles (deg): 90.00 106.64 90.00
Fractional coordinates of all 4 atoms:
Cd: 0.000 0.000 0.000
Mo: 0.462 0.500 0.923
Br: 0.334 0.000 0.663
Br: 0.624 0.500 0.252

---

No. 10
The following is a DFT calculation (PBE) of a geometry-optimized CdMo2Br structure.

Results
Calculated density   8.701 g/cm3
Space-group type   No. 216
Offset from the most stable computed form   792 meV/atom
Raw formation energy   1.002 eV/atom
Fermi-level density of states   11.1 states/eV per cell

a b c (Å): 6.644 6.644 6.644
angles (deg): 90.00 90.00 90.00
Fractional coordinates of all 16 atoms:
Cd: 0.000 0.000 0.000
Cd: 0.000 0.500 0.500
Cd: 0.500 0.000 0.500
Cd: 0.500 0.500 0.000
Mo: 0.000 0.000 0.500
Mo: 0.000 0.500 0.000
Mo: 0.250 0.250 0.750
Mo: 0.250 0.750 0.250
Mo: 0.500 0.000 0.000
Mo: 0.500 0.500 0.500
Mo: 0.750 0.250 0.250
Mo: 0.750 0.750 0.750
Br: 0.250 0.250 0.250
Br: 0.250 0.750 0.750
Br: 0.750 0.250 0.750
Br: 0.750 0.750 0.250

---

No. 11
The following is a DFT calculation (PBE) of a geometry-optimized CdMo2Br structure.

Results
Calculated density   7.103 g/cm3
Space-group type   No. 10
Offset from the most stable computed form   445 meV/atom
Raw formation energy   0.655 eV/atom
Fermi-level density of states   2.7 states/eV per cell

a b c (Å): 3.396 5.047 5.281
angles (deg): 90.00 97.06 90.00
Fractional coordinates of all 4 atoms:
Cd: 0.000 0.000 0.000
Mo: 0.310 0.500 0.162
Mo: 0.690 0.500 0.838
Br: 0.500 0.000 0.500

---

No. 12
The following is a DFT calculation (PBE) of a geometry-optimized CdMoBr2 structure.

Results
Calculated density   4.225 g/cm3
Space-group type   No. 10
Offset from the most stable computed form   200 meV/atom
Raw formation energy   0.207 eV/atom
Fermi-level density of states   0.5 states/eV per cell

a b c (Å): 4.028 3.721 9.748
angles (deg): 90.00 97.95 90.00
Fractional coordinates of all 4 atoms:
Cd: 0.000 0.000 0.000
Mo: 0.500 0.000 0.500
Br: 0.365 0.500 0.673
Br: 0.635 0.500 0.327

---

No. 13
The following is a DFT calculation (PBE) of a geometry-optimized CdMoBr2 structure.

Results
Calculated density   5.697 g/cm3
Space-group type   No. 119
Offset from the most stable computed form   545 meV/atom
Raw formation energy   0.552 eV/atom
Fermi-level density of states   3.6 states/eV per cell

a b c (Å): 4.133 4.133 12.565
angles (deg): 90.00 90.00 90.00
Fractional coordinates of all 8 atoms:
Cd: 0.000 0.000 0.000
Cd: 0.500 0.500 0.500
Mo: 0.000 0.500 0.750
Mo: 0.500 0.000 0.250
Br: 0.000 0.000 0.500
Br: 0.000 0.500 0.250
Br: 0.500 0.000 0.750
Br: 0.500 0.500 0.000

---

No. 14
The following is a DFT calculation (PBE) of a geometry-optimized CdMo2Br structure.

Results
Calculated density   8.675 g/cm3
Space-group type   No. 71
Offset from the most stable computed form   653 meV/atom
Raw formation energy   0.864 eV/atom
Fermi-level density of states   7.5 states/eV per cell

a b c (Å): 3.004 4.995 9.802
angles (deg): 90.00 90.00 90.00
Fractional coordinates of all 8 atoms:
Cd: 0.000 0.000 0.000
Cd: 0.500 0.500 0.500
Mo: 0.000 0.500 0.232
Mo: 0.000 0.500 0.768
Mo: 0.500 0.000 0.268
Mo: 0.500 0.000 0.732
Br: 0.000 0.000 0.500
Br: 0.500 0.500 0.000

---

No. 15
The following is a DFT calculation (PBE) of a geometry-optimized CdMoBr2 structure.

Results
Calculated density   6.179 g/cm3
Space-group type   No. 216
Offset from the most stable computed form   710 meV/atom
Raw formation energy   0.717 eV/atom
Fermi-level density of states   15.7 states/eV per cell

a b c (Å): 7.342 7.342 7.342
angles (deg): 90.00 90.00 90.00
Fractional coordinates of all 16 atoms:
Cd: 0.000 0.000 0.000
Cd: 0.000 0.500 0.500
Cd: 0.500 0.000 0.500
Cd: 0.500 0.500 0.000
Mo: 0.250 0.250 0.750
Mo: 0.250 0.750 0.250
Mo: 0.750 0.250 0.250
Mo: 0.750 0.750 0.750
Br: 0.000 0.000 0.500
Br: 0.000 0.500 0.000
Br: 0.250 0.250 0.250
Br: 0.250 0.750 0.750
Br: 0.500 0.000 0.000
Br: 0.500 0.500 0.500
Br: 0.750 0.250 0.750
Br: 0.750 0.750 0.250